# 1
This record from Alexandria via LeMat-Bulk describes an optimized crystal structure of SrNb3C. The functional is PBE-GGA.

```
data_SrNb3C
_symmetry_space_group_name_H-M 'P m -3 m'
_symmetry_Int_Tables_number 221
_symmetry_space_group_name_Hall '-P 4 2 3'
_cell_length_a 4.845
_cell_length_b 4.845
_cell_length_c 4.845
_cell_angle_alpha 90.00
_cell_angle_beta 90.00
_cell_angle_gamma 90.00
loop_
_atom_site_label
_atom_site_fract_x
_atom_site_fract_y
_atom_site_fract_z
_atom_site_occupancy
Sr1 0.000 0.000 0.000 1
Nb1 0.000 0.000 0.500 1
C1 0.500 0.500 0.500 1
```

Computed properties:
DOS(E_F): 1.42 states/eV/atom
Electronic total energy: -4.429 eV/atom
V: 113.7 Å³ per cell
ΔE to the lowest computed polymorph: 318.7 kJ/mol of atoms

---

# 2
This record from Alexandria via LeMat-Bulk describes an optimized crystal structure of SrNbC2. The functional is PBE-GGA.

```
data_SrNbC2
_symmetry_space_group_name_H-M 'F m -3 m'
_symmetry_Int_Tables_number 225
_symmetry_space_group_name_Hall '-F 4 2 3'
_cell_length_a 6.064
_cell_length_b 6.064
_cell_length_c 6.064
_cell_angle_alpha 90.00
_cell_angle_beta 90.00
_cell_angle_gamma 90.00
loop_
_atom_site_label
_atom_site_fract_x
_atom_site_fract_y
_atom_site_fract_z
_atom_site_occupancy
Sr1 0.000 0.000 0.000 1
Nb1 0.000 0.000 0.500 1
C1 0.250 0.250 0.250 1
```

Computed properties:
DOS(E_F): 0.98 states/eV/atom
Electronic total energy: -6.049 eV/atom
V: 223.0 Å³ per cell
ΔE to the lowest computed polymorph: 109.0 kJ/mol of atoms

---

# 3
This record from Alexandria via LeMat-Bulk describes an optimized crystal structure of SrNb3C. The functional is PBE-GGA.

```
data_SrNb3C
_symmetry_space_group_name_H-M 'P m -3 m'
_symmetry_Int_Tables_number 221
_symmetry_space_group_name_Hall '-P 4 2 3'
_cell_length_a 4.533
_cell_length_b 4.533
_cell_length_c 4.533
_cell_angle_alpha 90.00
_cell_angle_beta 90.00
_cell_angle_gamma 90.00
loop_
_atom_site_label
_atom_site_fract_x
_atom_site_fract_y
_atom_site_fract_z
_atom_site_occupancy
Sr1 0.000 0.000 0.000 1
Nb1 0.000 0.500 0.500 1
C1 0.500 0.500 0.500 1
```

Computed properties:
DOS(E_F): 0.90 states/eV/atom
Electronic total energy: -7.733 eV/atom
V: 93.2 Å³ per cell
ΔE to the lowest computed polymorph: 0.0 kJ/mol of atoms

---

# 4
This record from Alexandria via LeMat-Bulk describes an optimized crystal structure of SrNbC2. The functional is PBE-GGA.

```
data_SrNbC2
_symmetry_space_group_name_H-M 'I -4 2 d'
_symmetry_Int_Tables_number 122
_symmetry_space_group_name_Hall 'I -4 2bw'
_cell_length_a 6.008
_cell_length_b 6.008
_cell_length_c 8.225
_cell_angle_alpha 90.00
_cell_angle_beta 90.00
_cell_angle_gamma 90.00
loop_
_atom_site_label
_atom_site_fract_x
_atom_site_fract_y
_atom_site_fract_z
_atom_site_occupancy
Sr1 0.000 0.000 0.000 1
Nb1 0.000 0.000 0.500 1
C1 0.158 0.250 0.625 1
```

Computed properties:
DOS(E_F): 0.81 states/eV/atom
Electronic total energy: -7.179 eV/atom
V: 296.9 Å³ per cell
ΔE to the lowest computed polymorph: 0.0 kJ/mol of atoms

---

# 5
This record from Alexandria via LeMat-Bulk describes an optimized crystal structure of SrNbC3. The functional is PBE-GGA.

```
data_SrNbC3
_symmetry_space_group_name_H-M 'P m -3 m'
_symmetry_Int_Tables_number 221
_symmetry_space_group_name_Hall '-P 4 2 3'
_cell_length_a 4.249
_cell_length_b 4.249
_cell_length_c 4.249
_cell_angle_alpha 90.00
_cell_angle_beta 90.00
_cell_angle_gamma 90.00
loop_
_atom_site_label
_atom_site_fract_x
_atom_site_fract_y
_atom_site_fract_z
_atom_site_occupancy
Sr1 0.000 0.000 0.000 1
Nb1 0.500 0.500 0.500 1
C1 0.000 0.000 0.500 1
```

Computed properties:
DOS(E_F): 0.90 states/eV/atom
Electronic total energy: -4.472 eV/atom
V: 76.7 Å³ per cell
ΔE to the lowest computed polymorph: 230.9 kJ/mol of atoms

---

# 6
This record from Alexandria via LeMat-Bulk describes an optimized crystal structure of Ta2Nb2C3. The functional is PBE-GGA.

```
data_Ta2Nb2C3
_symmetry_space_group_name_H-M 'C 1 2/m 1'
_symmetry_Int_Tables_number 12
_cell_length_a 10.436
_cell_length_b 3.154
_cell_length_c 5.467
_cell_angle_alpha 90.00
_cell_angle_beta 100.06
_cell_angle_gamma 90.00
loop_
_symmetry_equiv_pos_as_xyz
'x,y,z'
'-x,-y,-z'
'-x,y,-z'
'x,-y,z'
'x+1/2,y+1/2,z'
'-x+1/2,-y+1/2,-z'
'-x+1/2,y+1/2,-z'
'x+1/2,-y+1/2,z'
loop_
_atom_site_label
_atom_site_fract_x
_atom_site_fract_y
_atom_site_fract_z
_atom_site_occupancy
Ta1 0.126 0.000 0.383 1
Nb1 0.131 0.500 0.872 1
C1 0.000 0.500 0.500 1
C2 0.249 0.000 0.745 1
```

Computed properties:
DOS(E_F): 0.37 states/eV/atom
Electronic total energy: -10.810 eV/atom
V: 177.2 Å³ per cell
ΔE to the lowest computed polymorph: 0.0 kJ/mol of atoms

---

# 7
This record from Alexandria via LeMat-Bulk describes an optimized crystal structure of TaNbC. The functional is PBE-GGA.

```
data_TaNbC
_symmetry_space_group_name_H-M 'P 3 m 1'
_symmetry_Int_Tables_number 156
_cell_length_a 3.1384
_cell_length_b 3.1384
_cell_length_c 4.9817
_cell_angle_alpha 90.00
_cell_angle_beta 90.00
_cell_angle_gamma 120.00
loop_
_symmetry_equiv_pos_as_xyz
'x,y,z'
'-y,x-y,z'
'-x+y,-x,z'
'-y,-x,z'
'-x+y,y,z'
'x,x-y,z'
loop_
_atom_site_label
_atom_site_fract_x
_atom_site_fract_y
_atom_site_fract_z
_atom_site_occupancy
Ta1 0.0000 0.0000 0.0000 1
Nb1 0.3333 0.6667 0.5036 1
C1 0.6667 0.3333 0.2479 1
```

Computed properties:
DOS(E_F): 0.39 states/eV/atom
Electronic total energy: -10.919 eV/atom
V: 42.5 Å³ per cell
ΔE to the lowest computed polymorph: 0.2 kJ/mol of atoms

---

# 8
This record from Alexandria via LeMat-Bulk describes an optimized crystal structure of TaNbC. The functional is PBE-GGA.

```
data_TaNbC
_symmetry_space_group_name_H-M 'C 1 m 1'
_symmetry_Int_Tables_number 8
_cell_length_a 11.257
_cell_length_b 3.153
_cell_length_c 4.790
_cell_angle_alpha 90.00
_cell_angle_beta 97.83
_cell_angle_gamma 90.00
loop_
_symmetry_equiv_pos_as_xyz
'x,y,z'
'x,-y,z'
'x+1/2,y+1/2,z'
'x+1/2,-y+1/2,z'
loop_
_atom_site_label
_atom_site_fract_x
_atom_site_fract_y
_atom_site_fract_z
_atom_site_occupancy
Ta1 0.000 0.000 0.000 1
Ta2 0.242 0.500 0.071 1
Nb1 0.086 0.500 0.503 1
Nb2 0.334 0.000 0.599 1
C1 0.164 0.000 0.783 1
C2 0.390 0.000 0.160 1
```

Computed properties:
DOS(E_F): 0.37 states/eV/atom
Electronic total energy: -10.747 eV/atom
V: 168.4 Å³ per cell
ΔE to the lowest computed polymorph: 16.8 kJ/mol of atoms

---

# 9
This record from Alexandria via LeMat-Bulk describes an optimized crystal structure of TaNbC. The functional is PBE-GGA.

```
data_TaNbC
_symmetry_space_group_name_H-M 'C 1 2/m 1'
_symmetry_Int_Tables_number 12
_cell_length_a 11.343
_cell_length_b 3.139
_cell_length_c 5.435
_cell_angle_alpha 90.00
_cell_angle_beta 118.56
_cell_angle_gamma 90.00
loop_
_symmetry_equiv_pos_as_xyz
'x,y,z'
'-x,-y,-z'
'-x,y,-z'
'x,-y,z'
'x+1/2,y+1/2,z'
'-x+1/2,-y+1/2,-z'
'-x+1/2,y+1/2,-z'
'x+1/2,-y+1/2,z'
loop_
_atom_site_label
_atom_site_fract_x
_atom_site_fract_y
_atom_site_fract_z
_atom_site_occupancy
Ta1 0.124 0.000 0.458 1
Nb1 0.124 0.500 0.958 1
C1 0.249 0.500 0.746 1
```

Computed properties:
DOS(E_F): 0.23 states/eV/atom
Electronic total energy: -10.921 eV/atom
V: 170.0 Å³ per cell
ΔE to the lowest computed polymorph: 0.0 kJ/mol of atoms

---

# 10
This record from Alexandria via LeMat-Bulk describes an optimized crystal structure of TaNb2C3. The functional is PBE-GGA.

```
data_TaNb2C3
_symmetry_space_group_name_H-M 'C 1 2/m 1'
_symmetry_Int_Tables_number 12
_cell_length_a 5.505
_cell_length_b 9.556
_cell_length_c 5.508
_cell_angle_alpha 90.00
_cell_angle_beta 109.56
_cell_angle_gamma 90.00
loop_
_symmetry_equiv_pos_as_xyz
'x,y,z'
'-x,-y,-z'
'-x,y,-z'
'x,-y,z'
'x+1/2,y+1/2,z'
'-x+1/2,-y+1/2,-z'
'-x+1/2,y+1/2,-z'
'x+1/2,-y+1/2,z'
loop_
_atom_site_label
_atom_site_fract_x
_atom_site_fract_y
_atom_site_fract_z
_atom_site_occupancy
Ta1 0.000 0.166 0.000 1
Nb1 0.000 0.000 0.500 1
Nb2 0.000 0.335 0.500 1
Nb3 0.000 0.500 0.000 1
C1 0.246 0.000 0.246 1
C2 0.250 0.168 0.754 1
```

Computed properties:
DOS(E_F): 0.23 states/eV/atom
Electronic total energy: -10.460 eV/atom
V: 273.0 Å³ per cell

---

Question: Number 3 is which compound?
Answer: SrNb3C

---

Question: Which of these has the lowest electronic total energy?
Answer: number 9

---

Question: Which formula does entry 9 have?
Answer: TaNbC

---

Question: The lowest V belongs to which entry?
Answer: number 7